Entry 1:
First-principles (PBE) data for an optimized crystal structure of Mn2AlAu, as listed in Alexandria via LeMat-Bulk.

a = 2.8876 Å, b = 3.7506 Å, c = 5.5065 Å
α = 90.00°, β = 90.12°, γ = 90.00°
Element x y z (fractional)
Mn (0.0011, 0.0000, 0.2383)
Mn (0.9989, 0.0000, 0.7617)
Al (0.5000, 0.5000, 0.0000)
Au (0.5000, 0.5000, 0.5000)

Results
size of the total moment: 6.38 μB per cell
excess energy over the best structure of this formula in the dataset: 1.119 kcal/mol of atoms

Entry 2:
First-principles (PBE) data for an optimized crystal structure of NpB2W, as listed in Alexandria via LeMat-Bulk.

a = 6.2468 Å, b = 6.2468 Å, c = 6.2468 Å
α = 29.61°, β = 29.61°, γ = 29.61°
Element x y z (fractional)
Np (0.0000, 0.0000, 0.0000)
B (0.2384, 0.2384, 0.2384)
B (0.7616, 0.7616, 0.7616)
W (0.5000, 0.5000, 0.5000)

Results
size of the total moment: 2.31 μB per cell
DFT total energy: -9.787 eV/atom